Entry 1:
A relaxed structure of BaPdPtPb. Source: the Alexandria database, functional GGA-PBE.

energy: -0.17376 hartree per atom
total moment: 0.00 μB per formula unit
formation energy from the elements: -0.51 eV/atom
volume: 109.4 Å³/f.u.

abc: 4.7737 4.7737 16.6283
angles: 90.00 90.00 120.00
With the nearest neighbours (Å) after each atom.
Space group R3m (No. 160, hexagonal axes)
Inequivalent atoms, fractional coordinates:
Ba 0.0000 0.0000 0.0000  4 Pd 3.28-3.57, 4 Pt 3.32-3.54
Pd 0.0000 0.0000 0.1970  3 Pb 2.81, 3 Pt 2.95
Pt 0.0000 0.0000 0.8002  3 Pb 2.80, 3 Pd 2.95
Pb 0.0000 0.0000 0.4977  3 Pt 2.80, 3 Pd 2.81

---

Entry 2:
A relaxed structure of RbBa2PdPb. Source: the Alexandria database, functional GGA-PBE.

energy: -0.11013 hartree per atom
total moment: 0.79 μB per formula unit
formation energy from the elements: -0.25 eV/atom
volume: 219.5 Å³/f.u.

abc: 6.3421 6.3421 5.4567
angles: 90.00 90.00 90.00
With the nearest neighbours (Å) after each atom.
Space group P4/mmm (No. 123)
Inequivalent atoms, fractional coordinates:
Rb 0.0000 0.0000 0.0000  8 Ba 4.18, 4 Pb 4.48
Ba 0.0000 0.5000 0.5000  2 Pd 3.17
Pd 0.5000 0.5000 0.5000  2 Pb 2.73
Pb 0.5000 0.5000 0.0000  2 Pd 2.73